Record 1
# Ac5La2Pr6

Ac5La2Pr6 after structural relaxation (GGA-PBE, Alexandria).

```
data_Ac5La2Pr6
_chemical_formula_sum 'Ac10 La4 Pr12'
_space_group_name_H-M_alt 'P b a m'
_space_group_IT_number 55
_cell_length_a 12.2588
_cell_length_b 22.2136
_cell_length_c 3.8362
_cell_angle_alpha 90.00
_cell_angle_beta 90.00
_cell_angle_gamma 90.00
loop_
_space_group_symop_operation_xyz
'x,y,z'
'-x,-y,-z'
'-x,-y,z'
'x,y,-z'
'x+1/2,-y+1/2,-z'
'-x+1/2,y+1/2,z'
'-x+1/2,y+1/2,-z'
'x+1/2,-y+1/2,z'
loop_
_atom_site_label
_atom_site_type_symbol
_atom_site_fract_x
_atom_site_fract_y
_atom_site_fract_z
_atom_site_occupancy
Ac1 Ac 0.0000 0.0000 0.0000 1
Ac2 Ac 0.0510 0.2922 0.0000 1
Ac3 Ac 0.1951 0.5756 0.0000 1
La1 La 0.2063 0.7336 0.5000 1
Pr1 Pr 0.0544 0.1455 0.5000 1
Pr2 Pr 0.0794 0.4368 0.5000 1
Pr3 Pr 0.1919 0.8757 0.0000 1
```

Summary:
- D(E_F) (states/eV per cell) = 35.40
- formation enthalpy at 0 K (meV per atom) = 77

---

Record 2
# Ac6La12Pr

Ac6La12Pr after structural relaxation (GGA-PBE, Alexandria).

```
data_Ac6La12Pr
_chemical_formula_sum 'Ac18 La36 Pr3'
_space_group_name_H-M_alt 'R -3 m'
_space_group_IT_number 166
_space_group_name_Hall '-R 3 2"'
_cell_length_a 14.3298
_cell_length_b 14.3298
_cell_length_c 13.0022
_cell_angle_alpha 90.00
_cell_angle_beta 90.00
_cell_angle_gamma 120.00
loop_
_atom_site_label
_atom_site_type_symbol
_atom_site_fract_x
_atom_site_fract_y
_atom_site_fract_z
_atom_site_occupancy
Ac1 Ac 0.0452 0.5226 0.1261 1
La1 La 0.0000 0.2470 0.0000 1
La2 La 0.0925 0.1851 0.7602 1
Pr1 Pr 0.0000 0.0000 0.5000 1
```

Summary:
- D(E_F) (states/eV per cell) = 124.20
- formation enthalpy at 0 K (meV per atom) = 191

---

Record 3
# Ac5La8Pr

Ac5La8Pr after structural relaxation (GGA-PBE, Alexandria).

```
data_Ac5La8Pr
_chemical_formula_sum 'Ac5 La8 Pr1'
_space_group_name_H-M_alt 'P 1'
_space_group_IT_number 1
_cell_length_a 8.7717
_cell_length_b 8.7892
_cell_length_c 8.8328
_cell_angle_alpha 107.63
_cell_angle_beta 107.86
_cell_angle_gamma 107.54
loop_
_space_group_symop_operation_xyz
'x,y,z'
loop_
_atom_site_label
_atom_site_type_symbol
_atom_site_fract_x
_atom_site_fract_y
_atom_site_fract_z
_atom_site_occupancy
Ac1 Ac 0.0000 0.0000 0.0000 1
Ac2 Ac 0.0299 0.6710 0.2152 1
Ac3 Ac 0.1323 0.3670 0.4917 1
Ac4 Ac 0.5084 0.8669 0.6301 1
Ac5 Ac 0.7202 0.8868 0.2995 1
La1 La 0.1511 0.0113 0.6468 1
La2 La 0.2811 0.7532 0.9270 1
La3 La 0.3384 0.4747 0.2138 1
La4 La 0.4394 0.1474 0.3866 1
La5 La 0.4564 0.3273 0.9468 1
La6 La 0.6176 0.5717 0.8105 1
La7 La 0.7061 0.1962 0.1079 1
La8 La 0.8956 0.3014 0.7729 1
Pr1 Pr 0.8154 0.5852 0.5228 1
```

Summary:
- D(E_F) (states/eV per cell) = 22.17
- formation enthalpy at 0 K (meV per atom) = 110

---

Record 4
# Ac3La3Pr

Ac3La3Pr after structural relaxation (GGA-PBE, Alexandria).

```
data_Ac3La3Pr
_chemical_formula_sum 'Ac18 La18 Pr6'
_space_group_name_H-M_alt 'R -3'
_space_group_IT_number 148
_space_group_name_Hall '-R 3'
_cell_length_a 10.1686
_cell_length_b 10.1686
_cell_length_c 18.8752
_cell_angle_alpha 90.00
_cell_angle_beta 90.00
_cell_angle_gamma 120.00
loop_
_atom_site_label
_atom_site_type_symbol
_atom_site_fract_x
_atom_site_fract_y
_atom_site_fract_z
_atom_site_occupancy
Ac1 Ac 0.0454 0.2411 0.4157 1
La1 La 0.0497 0.2346 0.9167 1
Pr1 Pr 0.0000 0.0000 0.2466 1
```

Summary:
- D(E_F) (states/eV per cell) = 84.47
- ΔE to the lowest computed polymorph (meV/atom) = 0.0
- formation enthalpy at 0 K (meV per atom) = 24

---

Record 5
# Ac2LaPr6

Ac2LaPr6 after structural relaxation (GGA-PBE, Alexandria).

```
data_Ac2LaPr6
_chemical_formula_sum 'Ac4 La2 Pr12'
_space_group_name_H-M_alt 'C 1 2/m 1'
_space_group_IT_number 12
_cell_length_a 17.8662
_cell_length_b 10.2874
_cell_length_c 3.7242
_cell_angle_alpha 90.00
_cell_angle_beta 90.07
_cell_angle_gamma 90.00
loop_
_space_group_symop_operation_xyz
'x,y,z'
'-x,-y,-z'
'-x,y,-z'
'x,-y,z'
'x+1/2,y+1/2,z'
'-x+1/2,-y+1/2,-z'
'-x+1/2,y+1/2,-z'
'x+1/2,-y+1/2,z'
loop_
_atom_site_label
_atom_site_type_symbol
_atom_site_fract_x
_atom_site_fract_y
_atom_site_fract_z
_atom_site_occupancy
Ac1 Ac 0.1667 0.0000 0.0001 1
La1 La 0.0000 0.5000 0.0000 1
Pr1 Pr 0.0000 0.1694 0.5000 1
Pr2 Pr 0.1656 0.3336 0.4999 1
```

Summary:
- D(E_F) (states/eV per cell) = 26.62
- ΔE to the lowest computed polymorph (meV/atom) = 0.0
- formation enthalpy at 0 K (meV per atom) = 37

---

Record 6
# Ac4LaPr5

Ac4LaPr5 after structural relaxation (GGA-PBE, Alexandria).

```
data_Ac4LaPr5
_chemical_formula_sum 'Ac4 La1 Pr5'
_space_group_name_H-M_alt 'P 4/m m m'
_space_group_IT_number 123
_space_group_name_Hall '-P 4 2'
_cell_length_a 3.8797
_cell_length_b 3.8797
_cell_length_c 26.4431
_cell_angle_alpha 90.00
_cell_angle_beta 90.00
_cell_angle_gamma 90.00
loop_
_atom_site_label
_atom_site_type_symbol
_atom_site_fract_x
_atom_site_fract_y
_atom_site_fract_z
_atom_site_occupancy
Ac1 Ac 0.0000 0.0000 0.1011 1
Ac2 Ac 0.0000 0.0000 0.3037 1
La1 La 0.0000 0.0000 0.5000 1
Pr1 Pr 0.5000 0.5000 0.0000 1
Pr2 Pr 0.5000 0.5000 0.2024 1
Pr3 Pr 0.5000 0.5000 0.4052 1
```

Summary:
- D(E_F) (states/eV per cell) = 20.04
- ΔE to the lowest computed polymorph (meV/atom) = 0.0
- formation enthalpy at 0 K (meV per atom) = 25

---

Record 7
# AcLa5Pr12

AcLa5Pr12 after structural relaxation (GGA-PBE, Alexandria).

```
data_AcLa5Pr12
_chemical_formula_sum 'Ac2 La10 Pr24'
_space_group_name_H-M_alt 'C m m m'
_space_group_IT_number 65
_space_group_name_Hall '-C 2 2'
_cell_length_a 15.8311
_cell_length_b 15.8448
_cell_length_c 5.2961
_cell_angle_alpha 90.00
_cell_angle_beta 90.00
_cell_angle_gamma 90.00
loop_
_atom_site_label
_atom_site_type_symbol
_atom_site_fract_x
_atom_site_fract_y
_atom_site_fract_z
_atom_site_occupancy
Ac1 Ac 0.0000 0.0000 0.0000 1
La1 La 0.0000 0.1694 0.5000 1
La2 La 0.0000 0.3334 0.0000 1
La3 La 0.0000 0.5000 0.5000 1
Pr1 Pr 0.1669 0.3336 0.5000 1
Pr2 Pr 0.1667 0.5000 0.0000 1
Pr3 Pr 0.1685 0.1676 0.0000 1
Pr4 Pr 0.1698 0.0000 0.5000 1
```

Summary:
- D(E_F) (states/eV per cell) = 64.86
- formation enthalpy at 0 K (meV per atom) = 13

---

Record 8
# Ac5La12Pr

Ac5La12Pr after structural relaxation (GGA-PBE, Alexandria).

```
data_Ac5La12Pr
_chemical_formula_sum 'Ac10 La24 Pr2'
_space_group_name_H-M_alt 'C 1 2/m 1'
_space_group_IT_number 12
_cell_length_a 19.6767
_cell_length_b 11.4679
_cell_length_c 6.5633
_cell_angle_alpha 90.00
_cell_angle_beta 108.83
_cell_angle_gamma 90.00
loop_
_space_group_symop_operation_xyz
'x,y,z'
'-x,-y,-z'
'-x,y,-z'
'x,-y,z'
'x+1/2,y+1/2,z'
'-x+1/2,-y+1/2,-z'
'-x+1/2,y+1/2,-z'
'x+1/2,-y+1/2,z'
loop_
_atom_site_label
_atom_site_type_symbol
_atom_site_fract_x
_atom_site_fract_y
_atom_site_fract_z
_atom_site_occupancy
Ac1 Ac 0.0000 0.0000 0.0000 1
Ac2 Ac 0.1651 0.5000 0.9929 1
Ac3 Ac 0.1671 0.0000 0.5030 1
La1 La 0.0000 0.1742 0.5000 1
La2 La 0.0000 0.3319 0.0000 1
La3 La 0.1655 0.3306 0.4969 1
La4 La 0.1671 0.1707 0.0027 1
Pr1 Pr 0.0000 0.5000 0.5000 1
```

Summary:
- D(E_F) (states/eV per cell) = 74.42
- formation enthalpy at 0 K (meV per atom) = 20

---

Record 9
# AcLa6Pr8

AcLa6Pr8 after structural relaxation (GGA-PBE, Alexandria).

```
data_AcLa6Pr8
_chemical_formula_sum 'Ac3 La18 Pr24'
_space_group_name_H-M_alt 'R -3'
_space_group_IT_number 148
_space_group_name_Hall '-R 3'
_cell_length_a 9.6920
_cell_length_b 9.6920
_cell_length_c 20.6921
_cell_angle_alpha 90.00
_cell_angle_beta 90.00
_cell_angle_gamma 120.00
loop_
_atom_site_label
_atom_site_type_symbol
_atom_site_fract_x
_atom_site_fract_y
_atom_site_fract_z
_atom_site_occupancy
Ac1 Ac 0.0000 0.0000 0.0000 1
La1 La 0.0388 0.2430 0.6901 1
Pr1 Pr 0.0000 0.0000 0.4282 1
Pr2 Pr 0.0634 0.2469 0.1646 1
```

Summary:
- D(E_F) (states/eV per cell) = 71.93
- ΔE to the lowest computed polymorph (meV/atom) = 0.0
- formation enthalpy at 0 K (meV per atom) = 126

---

Record 10
# Ac3La2Pr

Ac3La2Pr after structural relaxation (GGA-PBE, Alexandria).

```
data_Ac3La2Pr
_chemical_formula_sum 'Ac12 La8 Pr4'
_space_group_name_H-M_alt 'C 1 2/c 1'
_space_group_IT_number 15
_cell_length_a 9.6757
_cell_length_b 10.8715
_cell_length_c 9.5826
_cell_angle_alpha 90.00
_cell_angle_beta 101.80
_cell_angle_gamma 90.00
loop_
_space_group_symop_operation_xyz
'x,y,z'
'-x,-y,-z'
'-x,y,-z+1/2'
'x,-y,z+1/2'
'x+1/2,y+1/2,z'
'-x+1/2,-y+1/2,-z'
'-x+1/2,y+1/2,-z+1/2'
'x+1/2,-y+1/2,z+1/2'
loop_
_atom_site_label
_atom_site_type_symbol
_atom_site_fract_x
_atom_site_fract_y
_atom_site_fract_z
_atom_site_occupancy
Ac1 Ac 0.0000 0.0670 0.2500 1
Ac2 Ac 0.2203 0.4170 0.9826 1
La1 La 0.1319 0.2467 0.6190 1
Pr1 Pr 0.0000 0.3878 0.2500 1
```

Summary:
- D(E_F) (states/eV per cell) = 34.93
- ΔE to the lowest computed polymorph (meV/atom) = 0.0
- formation enthalpy at 0 K (meV per atom) = 81

---

- The lowest D(E_F) belongs to which entry?
  Ac4LaPr5